BaSbAsPt3 | PBE | relaxed

Unit cell a=6.4684 b=6.8103 c=7.8299 alpha=115.78 beta=90.00 gamma=90.00
Positions (direct):
Ba 0.7500 0.2280 0.4560
Ba 0.2500 0.7720 0.5440
Pt 0.5000 0.2096 0.0000
Pt 0.7500 0.7430 0.4861
Pt 0.5000 0.7904 0.0000
Pt 0.0000 0.7904 0.0000
Pt 0.2500 0.2570 0.5139
Pt 0.0000 0.2096 0.0000
As 0.7500 0.9119 0.8238
As 0.2500 0.0881 0.1762
Sb 0.7500 0.5610 0.1221
Sb 0.2500 0.4390 0.8779

- ΔE_f (raw) (eV per atom) = -0.61
- size of the total moment (μB per cell) = 0.00
- symmetry = Cmcm, No. 63

***

Sr3Bi2Au2 | PBE | relaxed

Unit cell a=4.8430 b=6.4464 c=8.2914 alpha=107.21 beta=90.00 gamma=112.06
Positions (direct):
Sr 0.6671 0.3341 0.6569
Sr 0.3329 0.6659 0.3431
Sr 0.5000 0.0000 0.0000
Au 0.8099 0.6199 0.0568
Au 0.1901 0.3801 0.9432
Bi 0.0474 0.0947 0.3338
Bi 0.9526 0.9053 0.6662

- size of the total moment (μB per cell) = 0.00
- formation energy from the elements (eV/atom) = -0.776
- symmetry = C2/m, No. 12